1.
## Sm2SnGePd6 (PBE)

Data for a relaxed Sm2SnGePd6 crystal.

```
data_Sm2SnGePd6
_symmetry_space_group_name_H-M 'C 1 2/m 1'
_symmetry_Int_Tables_number 12
_symmetry_space_group_name_Hall '-C 2y'
_cell_length_a 11.7733
_cell_length_b 5.5209
_cell_length_c 7.9784
_cell_angle_alpha 90.00
_cell_angle_beta 130.63
_cell_angle_gamma 90.00
loop_
_atom_site_label
_atom_site_type_symbol
_atom_site_fract_x
_atom_site_fract_y
_atom_site_fract_z
Sm1 Sm 0.0011 0.0000 0.2487
Sn1 Sn 0.0000 0.5000 0.5000
Ge1 Ge 0.0000 0.5000 0.0000
Pd1 Pd 0.1779 0.5000 0.9326
Pd2 Pd 0.2412 0.2524 0.2981
```

---

2.
## Sm2P2Rh5 (PBE)

Data for a relaxed Sm2P2Rh5 crystal.

ΔE to the lowest computed polymorph in meV/atom: 0.0

```
data_Sm2P2Rh5
_symmetry_space_group_name_H-M 'P 4/m m m'
_symmetry_Int_Tables_number 123
_symmetry_space_group_name_Hall '-P 4 2'
_cell_length_a 4.1437
_cell_length_b 4.1437
_cell_length_c 8.8362
_cell_angle_alpha 90.00
_cell_angle_beta 90.00
_cell_angle_gamma 90.00
loop_
_atom_site_label
_atom_site_type_symbol
_atom_site_fract_x
_atom_site_fract_y
_atom_site_fract_z
Sm1 Sm 0.0000 0.0000 0.0000
Sm2 Sm 0.0000 0.0000 0.5000
P1 P 0.5000 0.5000 0.1440
Rh1 Rh 0.0000 0.5000 0.2569
Rh2 Rh 0.5000 0.5000 0.5000
```

---

3.
## PmIn8Pd4 (PBE)

Data for a relaxed PmIn8Pd4 crystal.

```
data_PmIn8Pd4
_symmetry_space_group_name_H-M 'I 4/m m m'
_symmetry_Int_Tables_number 139
_symmetry_space_group_name_Hall '-I 4 2'
_cell_length_a 9.6367
_cell_length_b 9.6367
_cell_length_c 5.8810
_cell_angle_alpha 90.00
_cell_angle_beta 90.00
_cell_angle_gamma 90.00
loop_
_atom_site_label
_atom_site_type_symbol
_atom_site_fract_x
_atom_site_fract_y
_atom_site_fract_z
Pm1 Pm 0.0000 0.0000 0.0000
In1 In 0.0000 0.2198 0.5000
In2 In 0.0000 0.3375 0.0000
Pd1 Pd 0.2500 0.2500 0.2500
```

---

4.
## Pr9In2Sn (PBE)

Data for a relaxed Pr9In2Sn crystal.

```
data_Pr9In2Sn
_symmetry_space_group_name_H-M 'P 4/m m m'
_symmetry_Int_Tables_number 123
_symmetry_space_group_name_Hall '-P 4 2'
_cell_length_a 5.0154
_cell_length_b 5.0154
_cell_length_c 15.0347
_cell_angle_alpha 90.00
_cell_angle_beta 90.00
_cell_angle_gamma 90.00
loop_
_atom_site_label
_atom_site_type_symbol
_atom_site_fract_x
_atom_site_fract_y
_atom_site_fract_z
Pr1 Pr 0.0000 0.0000 0.0000
Pr2 Pr 0.0000 0.0000 0.3331
Pr3 Pr 0.0000 0.5000 0.1647
Pr4 Pr 0.0000 0.5000 0.5000
In1 In 0.5000 0.5000 0.3330
Sn1 Sn 0.5000 0.5000 0.0000
```

---

5.
## BeZnRh (PBE)

Data for a relaxed BeZnRh crystal.

ΔE to the lowest computed polymorph in meV/atom: 137.1

```
data_BeZnRh
_symmetry_space_group_name_H-M 'P 3 m 1'
_symmetry_Int_Tables_number 156
_symmetry_space_group_name_Hall 'P 3 -2"'
_cell_length_a 3.8859
_cell_length_b 3.8859
_cell_length_c 2.7720
_cell_angle_alpha 90.00
_cell_angle_beta 90.00
_cell_angle_gamma 120.00
loop_
_atom_site_label
_atom_site_type_symbol
_atom_site_fract_x
_atom_site_fract_y
_atom_site_fract_z
Be1 Be 0.0000 0.0000 0.0000
Zn1 Zn 0.3333 0.6667 0.8745
Rh1 Rh 0.6667 0.3333 0.3892
```

---

6.
## NaBi2Mo2 (PBE)

Data for a relaxed NaBi2Mo2 crystal.

ΔE to the lowest computed polymorph in meV/atom: 0.0

```
data_NaBi2Mo2
_symmetry_space_group_name_H-M 'I 4/m m m'
_symmetry_Int_Tables_number 139
_symmetry_space_group_name_Hall '-I 4 2'
_cell_length_a 3.8112
_cell_length_b 3.8112
_cell_length_c 17.4667
_cell_angle_alpha 90.00
_cell_angle_beta 90.00
_cell_angle_gamma 90.00
loop_
_atom_site_label
_atom_site_type_symbol
_atom_site_fract_x
_atom_site_fract_y
_atom_site_fract_z
Na1 Na 0.0000 0.0000 0.0000
Bi1 Bi 0.0000 0.0000 0.3757
Mo1 Mo 0.0000 0.5000 0.2500
```

---

7.
## MoP3 (PBE)

Data for a relaxed MoP3 crystal.

ΔE to the lowest computed polymorph in meV/atom: 0.0

```
data_MoP3
_symmetry_space_group_name_H-M 'I m m 2'
_symmetry_Int_Tables_number 44
_symmetry_space_group_name_Hall 'I 2 -2'
_cell_length_a 3.2665
_cell_length_b 7.5578
_cell_length_c 4.9118
_cell_angle_alpha 90.00
_cell_angle_beta 90.00
_cell_angle_gamma 90.00
loop_
_atom_site_label
_atom_site_type_symbol
_atom_site_fract_x
_atom_site_fract_y
_atom_site_fract_z
Mo1 Mo 0.0000 0.0000 0.0000
P1 P 0.0000 0.3124 0.7981
P2 P 0.0000 0.5000 0.1312
```

---

8.
## SrYAgGe (PBE)

Data for a relaxed SrYAgGe crystal.

```
data_SrYAgGe
_symmetry_space_group_name_H-M 'F -4 3 m'
_symmetry_Int_Tables_number 216
_symmetry_space_group_name_Hall 'F -4 2 3'
_cell_length_a 7.4494
_cell_length_b 7.4494
_cell_length_c 7.4494
_cell_angle_alpha 90.00
_cell_angle_beta 90.00
_cell_angle_gamma 90.00
loop_
_atom_site_label
_atom_site_type_symbol
_atom_site_fract_x
_atom_site_fract_y
_atom_site_fract_z
Sr1 Sr 0.0000 0.0000 0.0000
Y1 Y 0.0000 0.0000 0.5000
Ag1 Ag 0.2500 0.2500 0.2500
Ge1 Ge 0.2500 0.2500 0.7500
```

---

| no. | size of the total moment (μB/f.u.) | formation energy from the elements (meV/atom) |
| --- | --- | --- |
| 1 | 0.0 | -670 |
| 2 | 0.0 | -949 |
| 3 | 0.0 | -435 |
| 4 | 0.0 | -338 |
| 5 | 0.0 | -333 |
| 6 | 0.0 | 211 |
| 7 | 0.0 | -244 |
| 8 | 0.0 | -451 |